Entry 1:
## AuSeCl4 (GGA-PBE)

Data for a relaxed AuSeCl4 crystal. Values from VASP.

Results
Distance to the lowest polymorph of the same formula   1.161 eV per atom
Crystal system   cubic

Quantum ESPRESSO input file:
```
&SYSTEM
  ibrav = 0, nat = 6, ntyp = 3
/
ATOMIC_SPECIES
Au 196.97 Au.upf
Se 78.96 Se.upf
Cl 35.45 Cl.upf
ATOMIC_POSITIONS angstrom
Au 0.000 0.000 0.000
Se 2.064 2.064 2.064
Cl 5.166 3.088 3.088
Cl 3.088 5.166 3.088
Cl 3.088 3.088 5.166
Cl 5.166 5.166 5.166
CELL_PARAMETERS angstrom
0.000 4.127 4.127
4.127 0.000 4.127
4.127 4.127 0.000
```



Entry 2:
## AuSe2Cl (GGA-PBE)

Data for a relaxed AuSe2Cl crystal. Values from VASP.

Results
Crystal system   orthorhombic

Quantum ESPRESSO input file:
```
&SYSTEM
  ibrav = 0, nat = 4, ntyp = 3
/
ATOMIC_SPECIES
Au 196.97 Au.upf
Se 78.96 Se.upf
Cl 35.45 Cl.upf
ATOMIC_POSITIONS angstrom
Au 0.000 0.000 0.000
Se 1.845 0.000 4.046
Se 1.845 1.853 0.000
Cl 0.000 1.853 4.046
CELL_PARAMETERS angstrom
3.690 0.000 0.000
0.000 3.705 0.000
0.000 0.000 8.091
```



Entry 3:
## AuSeCl2 (GGA-PBE)

Data for a relaxed AuSeCl2 crystal. Values from VASP.

Results
Distance to the lowest polymorph of the same formula   0.706 eV per atom
Crystal system   orthorhombic

Quantum ESPRESSO input file:
```
&SYSTEM
  ibrav = 0, nat = 4, ntyp = 3
/
ATOMIC_SPECIES
Au 196.97 Au.upf
Se 78.96 Se.upf
Cl 35.45 Cl.upf
ATOMIC_POSITIONS angstrom
Au 0.000 0.000 0.000
Se 3.619 0.000 0.000
Cl 1.810 1.823 1.550
Cl 1.810 -1.823 1.550
CELL_PARAMETERS angstrom
3.619 -3.645 0.000
3.619 3.645 0.000
0.000 0.000 3.099
```



Entry 4:
## Au4SeCl (GGA-PBE)

Data for a relaxed Au4SeCl crystal. Values from VASP.

Results
Crystal system   cubic

Quantum ESPRESSO input file:
```
&SYSTEM
  ibrav = 0, nat = 6, ntyp = 3
/
ATOMIC_SPECIES
Au 196.97 Au.upf
Se 78.96 Se.upf
Cl 35.45 Cl.upf
ATOMIC_POSITIONS angstrom
Au 0.989 0.989 0.989
Au 2.970 2.970 0.989
Au 2.970 0.989 2.970
Au 0.989 2.970 2.970
Se 3.959 3.959 3.959
Cl 5.939 5.939 5.939
CELL_PARAMETERS angstrom
0.000 3.959 3.959
3.959 0.000 3.959
3.959 3.959 0.000
```



Entry 5:
## AuSe2Cl (GGA-PBE)

Data for a relaxed AuSe2Cl crystal. Values from VASP.

Results
Crystal system   monoclinic

Quantum ESPRESSO input file:
```
&SYSTEM
  ibrav = 0, nat = 4, ntyp = 3
/
ATOMIC_SPECIES
Au 196.97 Au.upf
Se 78.96 Se.upf
Cl 35.45 Cl.upf
ATOMIC_POSITIONS angstrom
Au 0.000 0.000 0.000
Se 0.241 2.069 1.851
Se 0.246 0.000 3.190
Cl 1.788 2.069 5.920
CELL_PARAMETERS angstrom
3.444 0.000 0.000
0.000 4.138 0.000
-1.502 0.000 7.325
```



Entry 6:
## AuSe2Cl (GGA-PBE)

Data for a relaxed AuSe2Cl crystal. Values from VASP.

Results
Crystal system   cubic

Quantum ESPRESSO input file:
```
&SYSTEM
  ibrav = 0, nat = 4, ntyp = 3
/
ATOMIC_SPECIES
Au 196.97 Au.upf
Se 78.96 Se.upf
Cl 35.45 Cl.upf
ATOMIC_POSITIONS angstrom
Au 0.000 0.000 0.000
Se 1.700 1.700 1.700
Se 5.101 5.101 5.101
Cl 3.401 3.401 3.401
CELL_PARAMETERS angstrom
0.000 3.401 3.401
3.401 0.000 3.401
3.401 3.401 0.000
```



| no. | calculated volume (Å³ per atom) | E (eV per atom) | formation energy (no corrections) (eV per atom) |
| --- | --- | --- | --- |
| 1 | 23.44 | -1.38 | 0.978 |
| 2 | 27.66 | -2.69 | 0.336 |
| 3 | 20.44 | -2.06 | 0.558 |
| 4 | 20.69 | -2.70 | 0.376 |
| 5 | 26.10 | -2.90 | 0.124 |
| 6 | 19.66 | -2.49 | 0.537 |